This record from Alexandria describes Cs2MgScBe at its PBEsol-relaxed geometry. The functional is SCAN.

Output
Symmetry   P4/mmm
Energy of formation   1.237 eV per atom

Lattice parameters (Å, degrees): 5.8029 7.0107 7.0107 90.00 90.00 90.00
Element x y z (fractional)
Cs1 0.0000 0.5000 0.0000
Cs2 0.0000 0.0000 0.5000
Sc1 0.5000 0.0000 0.0000
Be1 0.5000 0.5000 0.5000
Mg1 0.0000 0.0000 0.0000



This record from Alexandria describes Li2AlPb at its PBEsol-relaxed geometry. The functional is SCAN.

Output
Symmetry   I4/mmm
Energy of formation   -0.235 eV per atom

Lattice parameters (Å, degrees): 4.2513 4.2513 5.1409 114.42 114.42 90.00
Element x y z (fractional)
Pb1 0.0000 0.0000 0.0000
Al1 0.5000 0.5000 0.0000
Li1 0.7500 0.2500 0.5000
Li2 0.2500 0.7500 0.5000



This record from Alexandria describes CeAgAu2 at its PBEsol-relaxed geometry. The functional is SCAN.

Output
Symmetry   Fm-3m
Energy of formation   -0.586 eV per atom

Lattice parameters (Å, degrees): 4.8645 4.8645 4.8645 60.00 60.00 60.00
Element x y z (fractional)
Au1 0.2500 0.2500 0.2500
Au2 0.7500 0.7500 0.7500
Ce1 0.0000 0.0000 0.0000
Ag1 0.5000 0.5000 0.5000



This record from Alexandria describes AgCl2 at its PBEsol-relaxed geometry. The functional is SCAN.

Output
Symmetry   C2/m
E_tot   -16.12 eV per atom

Lattice parameters (Å, degrees): 3.8832 3.9153 10.3563 102.46 90.00 119.73
Element x y z (fractional)
Cl1 0.5833 0.1666 0.9308
Cl2 0.1386 0.2772 0.5137
Cl3 0.3608 0.7217 0.7222
Cl4 0.3616 0.7233 0.2223
Ag1 0.9638 0.9277 0.0672
Ag2 0.7585 0.5170 0.3773



This record from Alexandria describes BaGe2As2 at its PBEsol-relaxed geometry. The functional is SCAN.

Output
Symmetry   P4_2mc
Energy of formation   -0.584 eV per atom

Lattice parameters (Å, degrees): 7.7997 7.7997 8.6473 90.00 90.00 90.00
Element x y z (fractional)
Ba1 0.0000 0.5000 0.5240
Ba2 0.0000 0.0000 0.9996
Ba3 0.0000 0.0000 0.4996
Ba4 0.5000 0.0000 0.0240
As1 0.2436 0.7721 0.7561
As2 0.2279 0.2436 0.2561
As3 0.2436 0.2279 0.7561
As4 0.7564 0.7721 0.7561
As5 0.7721 0.7564 0.2561
As6 0.7721 0.2436 0.2561
As7 0.7564 0.2279 0.7561
As8 0.2279 0.7564 0.2561
Ge1 0.8369 0.5000 0.1072
Ge2 0.5000 0.6655 0.3657
Ge3 0.6655 0.5000 0.8657
Ge4 0.1631 0.5000 0.1072
Ge5 0.3345 0.5000 0.8657
Ge6 0.5000 0.8369 0.6072
Ge7 0.5000 0.1631 0.6072
Ge8 0.5000 0.3345 0.3657



This record from Alexandria describes CaCdOs2 at its PBEsol-relaxed geometry. The functional is SCAN.

Output
Symmetry   Pmm2
Energy of formation   0.251 eV per atom

Lattice parameters (Å, degrees): 2.8396 3.6313 7.3941 90.00 90.00 90.00
Element x y z (fractional)
Os1 0.5000 0.5000 0.1878
Os2 0.0000 0.0000 0.0438
Ca1 0.0000 0.0000 0.4768
Cd1 0.5000 0.5000 0.7916



This record from Alexandria describes Mg2TlGe2 at its PBEsol-relaxed geometry. The functional is SCAN.

Output
Symmetry   I4/mmm
Energy of formation   -0.057 eV per atom

Lattice parameters (Å, degrees): 4.6125 4.6125 6.2959 111.49 111.49 90.00
Element x y z (fractional)
Ge1 0.3896 0.3896 0.7791
Ge2 0.6104 0.6104 0.2209
Mg1 0.7500 0.2500 0.5000
Mg2 0.2500 0.7500 0.5000
Tl1 0.0000 0.0000 0.0000



This record from Alexandria describes MgReOs2 at its PBEsol-relaxed geometry. The functional is SCAN.

Output
Symmetry   Cm
Energy of formation   0.128 eV per atom

Lattice parameters (Å, degrees): 2.7914 4.6509 5.1534 112.34 105.71 90.00
Element x y z (fractional)
Mg1 0.7409 0.1856 0.4817
Os1 0.9800 0.0578 0.9599
Os2 0.2577 0.6824 0.5154
Re1 0.5215 0.5742 0.0429



This record from Alexandria describes Zn3Os at its PBEsol-relaxed geometry. The functional is SCAN.

Output
Symmetry   I4/mmm
Energy of formation   0.036 eV per atom

Lattice parameters (Å, degrees): 3.7430 3.7430 8.0931 103.37 103.37 90.00
Element x y z (fractional)
Zn1 0.7500 0.2500 0.5000
Zn2 0.2500 0.7500 0.5000
Zn3 0.1288 0.1288 0.2577
Zn4 0.0000 0.5000 0.0000
Zn5 0.5000 0.0000 0.0000
Zn6 0.8712 0.8712 0.7423
Os1 0.3818 0.3818 0.7635
Os2 0.6182 0.6182 0.2365



This record from Alexandria describes TaTlCo2 at its PBEsol-relaxed geometry. The functional is SCAN.

Output
Symmetry   C2/m
Energy of formation   0.426 eV per atom

Lattice parameters (Å, degrees): 2.9775 4.3722 5.1362 101.36 90.00 109.91
Element x y z (fractional)
Co1 0.2597 0.5194 0.3045
Co2 0.7403 0.4806 0.6955
Ta1 0.0000 0.0000 0.5000
Tl1 0.5000 0.0000 0.0000



This record from Alexandria describes Cd3Mo at its PBEsol-relaxed geometry. The functional is SCAN.

Output
Symmetry   P4/mmm
Energy of formation   0.303 eV per atom

Lattice parameters (Å, degrees): 2.8492 2.8492 9.0992 90.00 90.00 90.00
Element x y z (fractional)
Mo1 0.5000 0.5000 0.5000
Cd1 0.0000 0.0000 0.2634
Cd2 0.5000 0.5000 0.0000
Cd3 0.0000 0.0000 0.7366



This record from Alexandria describes LiNbMo2 at its PBEsol-relaxed geometry. The functional is SCAN.

Output
Symmetry   Fm-3m
Energy of formation   0.502 eV per atom

Lattice parameters (Å, degrees): 4.4155 4.4155 4.4155 60.00 60.00 60.00
Element x y z (fractional)
Li1 0.0000 0.0000 0.0000
Mo1 0.7500 0.7500 0.7500
Mo2 0.2500 0.2500 0.2500
Nb1 0.5000 0.5000 0.5000



This record from Alexandria describes CaAlIr at its PBEsol-relaxed geometry. The functional is SCAN.

Output
Symmetry   F-43m
Energy of formation   -0.384 eV per atom

Lattice parameters (Å, degrees): 4.4522 4.4522 4.4522 60.00 60.00 60.00
Element x y z (fractional)
Al1 0.0000 0.0000 0.0000
Ca1 0.5000 0.5000 0.5000
Ir1 0.2500 0.2500 0.2500



This record from Alexandria describes MgMo2P at its PBEsol-relaxed geometry. The functional is SCAN.

Output
Symmetry   P4/mmm
Energy of formation   0.046 eV per atom

Lattice parameters (Å, degrees): 3.0347 3.0347 6.7551 90.00 90.00 90.00
Element x y z (fractional)
P1 0.5000 0.5000 0.0000
Mg1 0.5000 0.5000 0.5000
Mo1 0.0000 0.0000 0.1904
Mo2 0.0000 0.0000 0.8096



This record from Alexandria describes ScTc2WO at its PBEsol-relaxed geometry. The functional is SCAN.

Output
Symmetry   P4/mmm
E_tot   -30.45 eV per atom

Lattice parameters (Å, degrees): 4.5508 4.5508 5.2857 90.00 90.00 90.00
Element x y z (fractional)
W1 0.0000 0.0000 0.0000
Tc1 0.5000 0.0000 0.0000
Tc2 0.0000 0.5000 0.0000
Sc1 0.0000 0.0000 0.5000
O1 0.5000 0.5000 0.5000



This record from Alexandria describes CrAgTe2 at its PBEsol-relaxed geometry. The functional is SCAN.

Output
Symmetry   P4/mmm
E_tot   -30.94 eV per atom

Lattice parameters (Å, degrees): 3.6190 4.8559 4.8476 90.00 90.00 90.00
Element x y z (fractional)
Cr1 0.5000 0.0000 0.5000
Te1 0.0000 0.0000 0.0000
Te2 0.0000 0.5000 0.5000
Ag1 0.5000 0.5000 0.0000



This record from Alexandria describes Ba2BAu2 at its PBEsol-relaxed geometry. The functional is SCAN.

Output
Symmetry   I4/mmm
Energy of formation   0.035 eV per atom

Lattice parameters (Å, degrees): 3.8054 3.8054 9.4772 101.58 101.58 90.00
Element x y z (fractional)
Au1 0.7500 0.2500 0.5000
Au2 0.2500 0.7500 0.5000
B1 0.0000 0.0000 0.0000
Ba1 0.4041 0.4041 0.8082
Ba2 0.5959 0.5959 0.1918



This record from Alexandria describes Ti2BiRhCl at its PBEsol-relaxed geometry. The functional is SCAN.

Output
Symmetry   P4/mmm
E_tot   -29.17 eV per atom

Lattice parameters (Å, degrees): 5.1040 5.2565 5.2565 90.00 90.00 90.00
Element x y z (fractional)
Rh1 0.5000 0.5000 0.5000
Ti1 0.0000 0.0000 0.5000
Ti2 0.0000 0.5000 0.0000
Cl1 0.5000 0.0000 0.0000
Bi1 0.0000 0.0000 0.0000



This record from Alexandria describes AlNiAu at its PBEsol-relaxed geometry. The functional is SCAN.

Output
Symmetry   I4mm
Energy of formation   -0.484 eV per atom

Lattice parameters (Å, degrees): 3.0173 3.0187 4.9516 107.75 107.74 90.00
Element x y z (fractional)
Al1 0.9827 0.9827 0.9654
Au1 0.6644 0.6644 0.3288
Ni1 0.3529 0.3529 0.7058



This record from Alexandria describes LiYW3 at its PBEsol-relaxed geometry. The functional is SCAN.

Output
Symmetry   Pm-3m
Energy of formation   1.581 eV per atom

Lattice parameters (Å, degrees): 4.3946 4.3946 4.3946 90.00 90.00 90.00
Element x y z (fractional)
W1 0.0000 0.5000 0.0000
W2 0.5000 0.0000 0.0000
W3 0.0000 0.0000 0.5000
Y1 0.5000 0.5000 0.5000
Li1 0.0000 0.0000 0.0000